DFT (PBE-GGA) results for a relaxed CaPmY6 crystal.

For the total energy, the calculation gives -43.78 eV/cell. Its size of the total moment is 0.0 μB/f.u. The value obtained for the calculated formation energy is 0.219 eV/atom.

Cell lengths 6.832, 6.686, 7.213 Å; angles 73.82, 60.10, 88.31 degrees
Sites, in units of the cell vectors:
Y1 0.570 0.722 0.526
Y2 0.430 0.278 0.474
Y3 0.455 0.252 0.006
Y4 0.545 0.748 0.994
Y5 0.094 0.762 0.481
Y6 0.906 0.238 0.519
Ca1 0.000 0.000 0.000
Pm1 0.000 0.500 0.000

---

DFT (PBE-GGA) results for a relaxed CaPm12Y6 crystal.

For the total energy, the calculation gives -94.28 eV/cell. Its size of the total moment is 0.0 μB/f.u. The value obtained for the calculated formation energy is 0.185 eV/atom.

Cell lengths 8.870, 8.870, 8.870 Å; angles 98.13, 98.13, 98.13 degrees
Sites, in units of the cell vectors:
Pm1 0.642 0.642 0.916
Pm2 0.759 0.241 0.500
Pm3 0.241 0.500 0.759
Pm4 0.500 0.241 0.759
Pm5 0.358 0.358 0.084
Pm6 0.084 0.358 0.358
Pm7 0.916 0.642 0.642
Pm8 0.642 0.916 0.642
Pm9 0.358 0.084 0.358
Pm10 0.759 0.500 0.241
Pm11 0.241 0.759 0.500
Pm12 0.500 0.759 0.241
Y1 0.099 0.099 0.656
Y2 0.901 0.344 0.901
Y3 0.344 0.901 0.901
Y4 0.099 0.656 0.099
Y5 0.901 0.901 0.344
Y6 0.656 0.099 0.099
Ca1 0.000 0.000 0.000

---

no.,ρ (g cm⁻³)
1,4.4
2,5.7